1.
Here is Y2CrRe2 after structural relaxation from Alexandria via LeMat-Bulk. Energies are from PBE.

Output
DOS(E_F) ... 27.9 states/eV/cell
Energy relative to the elements ... 1.123 eV/atom
VASP energy ... -8.366 eV per atom
Size of the total moment ... 0.113 μB per formula unit

Cell lengths 8.425, 8.425, 3.080 Å; angles 90.00, 90.00, 90.00 degrees
Atoms (fractional coordinates):
1 Y 0.195 0.305 0.000
2 Y 0.305 0.805 0.000
3 Y 0.695 0.195 0.000
4 Y 0.805 0.695 0.000
5 Cr 0.000 0.000 0.000
6 Cr 0.500 0.500 0.000
7 Re 0.096 0.596 0.500
8 Re 0.404 0.096 0.500
9 Re 0.596 0.904 0.500
10 Re 0.904 0.404 0.500

=====

2.
Here is NdSm4Tl7 after structural relaxation from Alexandria via LeMat-Bulk. Energies are from PBE.

Output
DOS(E_F) ... 8.5 states/eV/cell
Energy relative to the elements ... -0.154 eV/atom
VASP energy ... -3.505 eV per atom
Size of the total moment ... 0.000 μB per formula unit

Cell lengths 7.312, 7.312, 11.751 Å; angles 120.72, 120.72, 46.70 degrees
Atoms (fractional coordinates):
1 Nd 0.000 0.000 0.000
2 Sm 0.274 0.274 0.667
3 Sm 0.412 0.412 0.217
4 Sm 0.588 0.588 0.783
5 Sm 0.726 0.726 0.333
6 Tl 0.080 0.080 0.322
7 Tl 0.217 0.217 0.898
8 Tl 0.368 0.368 0.460
9 Tl 0.500 0.500 0.000
10 Tl 0.632 0.632 0.540
11 Tl 0.783 0.783 0.102
12 Tl 0.920 0.920 0.678

=====

3.
Here is Sm4Ho3Cd4 after structural relaxation from Alexandria via LeMat-Bulk. Energies are from PBE.

Output
DOS(E_F) ... 11.4 states/eV/cell
Energy relative to the elements ... -0.070 eV/atom
VASP energy ... -3.367 eV per atom
Size of the total moment ... 0.000 μB per formula unit

Cell lengths 9.852, 9.852, 9.852 Å; angles 148.60, 139.16, 52.40 degrees
Atoms (fractional coordinates):
1 Sm 0.058 0.819 0.239
2 Sm 0.421 0.181 0.239
3 Sm 0.579 0.819 0.761
4 Sm 0.942 0.181 0.761
5 Ho 0.000 0.500 0.500
6 Ho 0.403 0.403 0.000
7 Ho 0.597 0.597 0.000
8 Cd 0.169 0.669 0.500
9 Cd 0.288 0.000 0.288
10 Cd 0.712 0.000 0.712
11 Cd 0.831 0.331 0.500

=====

4.
Here is Li2AcBiS after structural relaxation from Alexandria via LeMat-Bulk. Energies are from PBE.

Output
DOS(E_F) ... 0.4 states/eV/cell
VASP energy ... -4.314 eV per atom
Size of the total moment ... 0.000 μB per formula unit
Uncorrected formation energy ... -109 kJ per mole of atoms

Cell lengths 4.768, 4.768, 6.106 Å; angles 90.00, 90.00, 90.00 degrees
Atoms (fractional coordinates):
1 Li 0.000 0.500 0.000
2 Li 0.500 0.000 0.000
3 Ac 0.000 0.000 0.558
4 Bi 0.500 0.500 0.655
5 S 0.000 0.000 0.080

=====

5.
Here is PrBePd after structural relaxation from Alexandria via LeMat-Bulk. Energies are from PBE.

Output
DOS(E_F) ... 2.0 states/eV/cell
Energy relative to the elements ... -0.449 eV/atom
VASP energy ... -5.015 eV per atom
Size of the total moment ... 0.000 μB per formula unit

Cell lengths 4.149, 4.149, 4.053 Å; angles 90.00, 90.00, 120.00 degrees
Atoms (fractional coordinates):
1 Pr 0.000 0.000 0.000
2 Be 0.333 0.667 0.500
3 Pd 0.667 0.333 0.500

=====

6.
Here is Cd2InW after structural relaxation from Alexandria via LeMat-Bulk. Energies are from PBE.

Output
DOS(E_F) ... 2.1 states/eV/cell
Energy relative to the elements ... 0.483 eV/atom
VASP energy ... -3.897 eV per atom
Size of the total moment ... 0.000 μB per formula unit

Cell lengths 10.097, 10.097, 10.097 Å; angles 17.50, 17.50, 17.50 degrees
Atoms (fractional coordinates):
1 Cd 0.246 0.246 0.246
2 Cd 0.754 0.754 0.754
3 In 0.000 0.000 0.000
4 W 0.500 0.500 0.500

=====

7.
Here is Be2MoP after structural relaxation from Alexandria via LeMat-Bulk. Energies are from PBE.

Output
DOS(E_F) ... 1.1 states/eV/cell
Energy relative to the elements ... 0.122 eV/atom
VASP energy ... -5.801 eV per atom
Size of the total moment ... 0.000 μB per formula unit

Cell lengths 4.542, 4.542, 4.314 Å; angles 92.33, 92.33, 32.97 degrees
Atoms (fractional coordinates):
1 Be 0.000 0.000 0.000
2 Be 0.729 0.729 0.197
3 Mo 0.454 0.454 0.478
4 P 0.193 0.193 0.677

=====

8.
Here is Fe3Se after structural relaxation from Alexandria via LeMat-Bulk. Energies are from PBE.

Output
DOS(E_F) ... 3.8 states/eV/cell
VASP energy ... -6.970 eV per atom
Size of the total moment ... 7.788 μB per formula unit
Uncorrected formation energy ... 24 kJ per mole of atoms

Cell lengths 2.728, 4.076, 4.978 Å; angles 90.00, 99.59, 90.00 degrees
Atoms (fractional coordinates):
1 Fe 0.000 0.000 0.000
2 Fe 0.263 0.500 0.771
3 Fe 0.737 0.500 0.229
4 Se 0.000 0.000 0.500